Entry 1:
Below is a relaxed structure of SrMn2Ag, with properties calculated at the PBE level.

POSCAR file:
```
SrMn2Ag
1.0
5.0151 -0.5871 0.0000
0.6218 5.0109 0.0000
-2.8185 -2.2119 3.5580
Sr Ag Mn
1 1 2
Cartesian
2.8185 2.2119 0.0000 Sr
2.5076 -0.2935 1.7790 Ag
0.0000 0.0000 0.0000 Mn
0.3109 2.5055 1.7790 Mn
```

Summary:
ΔH_f (0 K) ... 56 kJ/mol of atoms
Final energy ... -20.53 eV per cell
Fermi-level density of states ... 3.630 states/eV/cell
Crystal system ... tetragonal

Entry 2:
Below is a relaxed structure of Sr2Zn2GeO6, with properties calculated at the PBE level.

POSCAR file:
```
Sr2Zn2GeO6
1.0
5.8183 0.0000 0.0000
2.9092 5.0388 0.0000
2.9092 1.6796 5.2107
O Sr Ge Zn
6 2 1 2
Cartesian
4.2002 4.2935 1.2402 O
5.8183 1.4907 1.2402 O
7.4365 4.2935 1.2402 O
5.8183 5.2277 3.9705 O
4.2002 2.4250 3.9705 O
7.4365 2.4250 3.9705 O
8.7275 5.0388 3.2857 Sr
2.9092 1.6796 1.9250 Sr
0.0000 0.0000 0.0000 Ge
5.8183 3.3592 1.1698 Zn
5.8183 3.3592 4.0409 Zn
```

Summary:
Uncorrected formation energy ... -1.857 eV per atom
Final energy ... -60.70 eV per cell
Crystal system ... trigonal

Entry 3:
Below is a relaxed structure of TlFeCoCl6, with properties calculated at the PBE level.

POSCAR file:
```
TlFeCoCl6
1.0
-5.3504 -2.6629 -2.0271
-0.4649 -2.1432 -5.7809
2.2176 -6.4180 2.1192
Cl Co Tl Fe
6 1 1 1
Cartesian
-1.5177 -4.3099 -3.6622 Cl
1.1367 -5.7816 -2.1806 Cl
0.4564 -2.8332 -1.4867 Cl
-0.4521 -5.4180 0.6152 Cl
-1.9641 -6.8442 -1.9255 Cl
-2.6084 -3.6893 -0.6790 Cl
-0.8301 -4.8107 -1.5414 Co
1.7505 -8.5603 -3.6576 Tl
-2.7932 -6.4032 -4.0912 Fe
```

Summary:
Uncorrected formation energy ... -0.719 eV per atom
Final energy ... -35.48 eV per cell
Fermi-level density of states ... 5.064 states/eV/cell
Crystal system ... monoclinic

Entry 4:
Below is a relaxed structure of Ba3Tl7Hg4, with properties calculated at the PBE level.

POSCAR file:
```
Ba3Tl7Hg4
1.0
5.0720 0.0000 1.2795
1.8725 9.1541 3.2700
0.2013 0.1604 9.8945
Ba Tl Hg
3 7 4
Cartesian
1.0369 4.6572 6.5822 Ba
1.9284 1.7896 3.0484 Ba
5.2174 7.5249 11.3956 Ba
0.0000 0.0000 0.0000 Tl
3.0425 1.8870 9.3244 Tl
3.3213 7.4036 8.2192 Tl
4.1033 7.4275 5.1195 Tl
5.1901 3.6267 11.5039 Tl
3.8245 1.9109 6.2248 Tl
1.9557 5.6878 2.9400 Tl
1.0075 0.8559 6.6988 Hg
2.9010 4.9363 9.8854 Hg
6.1383 8.4586 7.7451 Hg
4.2448 4.3782 4.5585 Hg
```

Summary:
ΔH_f (0 K) ... -29 kJ/mol of atoms
Final energy ... -27.80 eV per cell
Fermi-level density of states ... 8.571 states/eV/cell
Crystal system ... monoclinic

Entry 5:
Below is a relaxed structure of AlPt2, with properties calculated at the PBE level.

POSCAR file:
```
AlPt2
1.0
-2.2943 5.9422 -0.2662
-4.5291 4.4005 0.8761
-2.3374 5.3245 2.6135
Pt Al
2 1
Cartesian
-5.1755 8.8514 1.8211 Pt
-7.0394 12.0391 2.4770 Pt
-9.1601 15.6662 3.2232 Al
```

Summary:
ΔH_f (0 K) ... -65 kJ/mol of atoms
Final energy ... -17.86 eV per cell
Fermi-level density of states ... 0.914 states/eV/cell
Crystal system ... trigonal

Entry 6:
Below is a relaxed structure of Sc3BeRe, with properties calculated at the PBE level.

POSCAR file:
```
Sc3BeRe
1.0
-1.3560 -3.0831 3.1674
-2.2512 -2.3696 -3.2702
3.8040 -2.5014 -0.8062
Be Re Sc
1 1 3
Cartesian
0.0000 0.0000 0.0000 Be
0.0984 -3.9770 -0.4545 Re
-1.1256 -1.1848 -1.6351 Sc
-0.6780 -1.5415 1.5837 Sc
1.9020 -1.2507 -0.4031 Sc
```

Summary:
ΔH_f (0 K) ... 71 kJ/mol of atoms
Final energy ... -31.51 eV per cell
Fermi-level density of states ... 7.511 states/eV/cell
Crystal system ... cubic

Entry 7:
Below is a relaxed structure of ScTc2Ru, with properties calculated at the PBE level.

POSCAR file:
```
ScTc2Ru
1.0
-1.8422 3.9518 -0.0434
-2.5392 -1.1823 0.1220
-0.6019 -0.2243 5.1281
Tc Sc Ru
2 1 1
Cartesian
-0.1039 -0.0476 0.0746 Tc
-1.5851 1.6802 1.2357 Tc
-3.2847 0.9170 3.8922 Sc
-1.5800 -0.7077 2.6293 Ru
```

Summary:
ΔH_f (0 K) ... 0 kJ/mol of atoms
Final energy ... -36.36 eV per cell
Fermi-level density of states ... 4.321 states/eV/cell
Crystal system ... monoclinic

Entry 8:
Below is a relaxed structure of AcMgSiHg, with properties calculated at the PBE level.

POSCAR file:
```
AcMgSiHg
1.0
-2.6507 -4.0963 2.0202
1.4819 -2.0842 4.6202
-3.0168 0.6608 4.2836
Hg Ac Si Mg
1 1 1 1
Cartesian
-3.1392 -4.1397 8.1930 Hg
0.0000 0.0000 0.0000 Ac
-1.0464 -1.3799 2.7310 Si
-2.0928 -2.7598 5.4620 Mg
```

Summary:
Uncorrected formation energy ... -0.259 eV per atom
Final energy ... -12.46 eV per cell
Fermi-level density of states ... 3.581 states/eV/cell
Crystal system ... cubic

Entry 9:
Below is a relaxed structure of KLiW, with properties calculated at the PBE level.

POSCAR file:
```
KLiW
1.0
-5.3510 6.1576 3.5253
-6.4326 6.1279 -0.2180
4.5687 -7.5176 -1.2605
K W Li
1 1 1
Cartesian
-0.1407 0.1467 0.0395 K
-8.0436 8.3861 2.2576 W
-3.5993 3.7526 1.0102 Li
```

Summary:
ΔH_f (0 K) ... 102 kJ/mol of atoms
Final energy ... -12.79 eV per cell
Fermi-level density of states ... 2.777 states/eV/cell
Crystal system ... tetragonal

Entry 10:
Below is a relaxed structure of CaHoErTm, with properties calculated at the PBE level.

POSCAR file:
```
CaHoErTm
1.0
5.6923 0.0000 0.0000
2.8462 4.9297 0.0000
2.8462 1.6432 4.6477
Tm Ho Ca Er
1 1 1 1
Cartesian
8.5385 4.9297 3.4858 Tm
0.0000 0.0000 0.0000 Ho
2.8462 1.6432 1.1619 Ca
5.6923 3.2865 2.3239 Er
```

Summary:
ΔH_f (0 K) ... 17 kJ/mol of atoms
Final energy ... -14.89 eV per cell
Fermi-level density of states ... 7.742 states/eV/cell
Crystal system ... cubic

Entry 11:
Below is a relaxed structure of CoReTe2, with properties calculated at the PBE level.

POSCAR file:
```
CoReTe2
1.0
3.2385 0.0000 0.0000
0.0000 3.2385 0.0000
0.0000 0.0000 8.0722
Re Te Co
1 2 1
Cartesian
1.6192 1.6192 5.7587 Re
0.0000 0.0000 7.2838 Te
1.6192 1.6192 2.9557 Te
0.0000 0.0000 4.1824 Co
```

Summary:
Uncorrected formation energy ... 0.317 eV per atom
Final energy ... -24.57 eV per cell
Fermi-level density of states ... 3.114 states/eV/cell
Crystal system ... tetragonal

Entry 12:
Below is a relaxed structure of Ba2EuSe, with properties calculated at the PBE level.

POSCAR file:
```
Ba2EuSe
1.0
-2.2798 -1.3577 3.5118
1.3441 -3.5244 2.2683
6.3377 5.4471 8.9788
Eu Se Ba
1 1 2
Cartesian
0.0000 0.0000 0.0000 Eu
2.7010 0.2825 7.3794 Se
1.2885 -2.5158 8.1389 Ba
4.1135 3.0808 6.6199 Ba
```

Summary:
Uncorrected formation energy ... -0.784 eV per atom
Final energy ... -20.74 eV per cell
Fermi-level density of states ... 4.546 states/eV/cell
Crystal system ... trigonal

Entry 13:
Below is a relaxed structure of V2CrGa2H2, with properties calculated at the PBE level.

POSCAR file:
```
V2CrGa2H2
1.0
3.4211 0.0000 0.0000
0.0000 3.4211 0.0000
-1.7105 -1.7105 6.5048
V Ga Cr H
2 2 1 2
Cartesian
0.0000 0.0000 5.3054 V
1.7105 1.7105 1.1994 V
1.7105 1.7105 3.9307 Ga
0.0000 0.0000 2.5741 Ga
0.0000 0.0000 0.0000 Cr
1.7105 0.0000 0.0000 H
0.0000 1.7105 0.0000 H
```

Summary:
Final energy ... -40.71 eV per cell
Fermi-level density of states ... 4.242 states/eV/cell
Crystal system ... tetragonal

Entry 14:
Below is a relaxed structure of NaSrSc2, with properties calculated at the PBE level.

POSCAR file:
```
NaSrSc2
1.0
0.0000 3.9907 3.9907
3.9907 0.0000 3.9907
3.9907 3.9907 0.0000
Na Sr Sc
1 1 2
Cartesian
0.0000 0.0000 0.0000 Na
3.9907 3.9907 3.9907 Sr
1.9954 1.9954 1.9954 Sc
5.9861 5.9861 5.9861 Sc
```

Summary:
ΔH_f (0 K) ... 53 kJ/mol of atoms
Final energy ... -13.49 eV per cell
Fermi-level density of states ... 9.017 states/eV/cell
Crystal system ... cubic

Entry 15:
Below is a relaxed structure of K2InOs, with properties calculated at the PBE level.

POSCAR file:
```
K2InOs
1.0
3.1658 0.0000 0.0000
0.0000 4.2773 0.0000
0.0000 0.0000 10.0998
In K Os
1 2 1
Cartesian
1.5829 2.1387 6.5425 In
1.5829 2.1387 3.3433 K
0.0000 0.0000 9.2923 K
0.0000 0.0000 6.0715 Os
```

Summary:
ΔH_f (0 K) ... 59 kJ/mol of atoms
Final energy ... -13.73 eV per cell
Fermi-level density of states ... 2.147 states/eV/cell
Crystal system ... orthorhombic

Entry 16:
Below is a relaxed structure of Nd15YEr4, with properties calculated at the PBE level.

POSCAR file:
```
Nd15YEr4
1.0
-1.9747 -4.5773 1.3200
2.3259 0.3206 4.5914
-20.6864 11.7106 9.6618
Nd Y Er
15 1 4
Cartesian
-9.1802 6.0156 7.1266 Nd
-8.1027 2.5580 6.8221 Nd
-3.9714 0.2193 4.8926 Nd
-7.1994 1.2280 3.5614 Nd
0.1756 -2.1284 2.9557 Nd
-15.4618 5.9054 7.4204 Nd
-13.3114 8.3543 9.0561 Nd
-16.3638 7.2347 10.6806 Nd
-19.5919 8.2434 9.3494 Nd
-3.0693 -1.1101 1.6324 Nd
-5.0490 3.6769 5.1971 Nd
-17.4415 10.6924 10.9851 Nd
-12.2325 4.8959 8.7510 Nd
-0.9189 1.3389 3.2681 Nd
-11.3306 3.5667 5.4909 Nd
0.0000 0.0000 0.0000 Y
-16.5418 9.3644 7.7260 Er
-4.1446 2.3463 1.9358 Er
-8.2778 4.6861 3.8662 Er
-12.4086 7.0246 5.7956 Er
```

Summary:
ΔH_f (0 K) ... 1 kJ/mol of atoms
Final energy ... -96.03 eV per cell
Fermi-level density of states ... 26.112 states/eV/cell
Crystal system ... tetragonal